Tm2Al2Pd3Au | PBE | optimized geometry Values from VASP.

Quantum ESPRESSO input file:
```
&SYSTEM
  ibrav = 0, nat = 8, ntyp = 4
/
ATOMIC_SPECIES
Tm 168.93 Tm.upf
Pd 106.42 Pd.upf
Au 196.97 Au.upf
Al 26.98 Al.upf
CELL_PARAMETERS angstrom
4.387 0.000 0.000
-2.194 3.799 0.000
0.000 0.000 9.019
ATOMIC_POSITIONS angstrom
Tm 2.194 1.266 2.305
Tm 0.000 2.533 6.748
Pd 2.194 1.266 8.274
Pd 2.194 1.266 5.251
Pd 0.000 2.533 3.786
Au 0.000 2.533 0.780
Al 0.000 0.000 8.911
Al 0.000 0.000 4.532
```

* crystal system: trigonal
* E_tot: -42.60 eV for the cell shown
* M_tot: 0.011 μB/cell
* V: 18.8 Å³/atom

Hg2SbPd | PBE | optimized geometry Values from VASP.

Quantum ESPRESSO input file:
```
&SYSTEM
  ibrav = 0, nat = 4, ntyp = 3
/
ATOMIC_SPECIES
Sb 121.76 Sb.upf
Hg 200.59 Hg.upf
Pd 106.42 Pd.upf
CELL_PARAMETERS angstrom
0.000 3.530 3.530
3.530 0.000 3.530
3.530 3.530 0.000
ATOMIC_POSITIONS angstrom
Sb 3.530 3.530 3.530
Hg 5.296 5.296 5.296
Hg 0.000 0.000 0.000
Pd 1.765 1.765 1.765
```

* crystal system: cubic
* E_tot: -9.40 eV for the cell shown
* V: 22.0 Å³/atom

ScTaBi2Ir2 | PBE | optimized geometry Values from VASP.

Quantum ESPRESSO input file:
```
&SYSTEM
  ibrav = 0, nat = 12, ntyp = 4
/
ATOMIC_SPECIES
Bi 208.98 Bi.upf
Ir 192.22 Ir.upf
Sc 44.96 Sc.upf
Ta 180.95 Ta.upf
CELL_PARAMETERS angstrom
6.396 0.000 0.000
0.000 4.526 0.000
0.000 0.000 9.048
ATOMIC_POSITIONS angstrom
Bi 0.095 2.263 5.594
Bi 3.293 0.000 3.454
Bi 6.290 2.263 1.208
Bi 3.092 0.000 7.840
Ir 4.674 0.000 1.013
Ir 1.475 2.263 8.035
Ir 1.722 2.263 3.257
Ir 4.920 0.000 5.791
Sc 3.269 2.263 5.655
Sc 0.071 0.000 3.393
Ta 3.139 2.263 1.106
Ta 6.338 0.000 7.942
```

* crystal system: orthorhombic
* E_tot: -93.46 eV for the cell shown
* M_tot: 0.000 μB/cell
* V: 21.8 Å³/atom

TaBeCoHg | PBE | optimized geometry Values from VASP.

Quantum ESPRESSO input file:
```
&SYSTEM
  ibrav = 0, nat = 4, ntyp = 4
/
ATOMIC_SPECIES
Co 58.93 Co.upf
Hg 200.59 Hg.upf
Ta 180.95 Ta.upf
Be 9.01 Be.upf
CELL_PARAMETERS angstrom
-2.086 -0.294 3.835
-4.065 1.566 0.405
-3.370 -2.753 0.452
ATOMIC_POSITIONS angstrom
Co -4.761 -0.740 2.346
Hg 0.000 0.000 0.000
Ta -2.380 -0.370 1.173
Be -7.141 -1.110 3.519
```

* crystal system: cubic
* E_tot: -21.28 eV for the cell shown
* M_tot: 0.168 μB/cell
* V: 14.8 Å³/atom

NiGeSb | PBE | optimized geometry Values from VASP.

Quantum ESPRESSO input file:
```
&SYSTEM
  ibrav = 0, nat = 3, ntyp = 3
/
ATOMIC_SPECIES
Ni 58.69 Ni.upf
Ge 72.64 Ge.upf
Sb 121.76 Sb.upf
CELL_PARAMETERS angstrom
0.000 3.181 3.181
3.181 0.000 3.181
3.181 3.181 0.000
ATOMIC_POSITIONS angstrom
Ni 3.181 3.181 3.181
Ge 0.000 0.000 0.000
Sb 4.772 4.772 4.772
```

* crystal system: cubic
* E_tot: -13.08 eV for the cell shown
* M_tot: 0.004 μB/cell
* V: 21.5 Å³/atom

Er3Co8Ni | PBE | optimized geometry Values from VASP.

Quantum ESPRESSO input file:
```
&SYSTEM
  ibrav = 0, nat = 12, ntyp = 3
/
ATOMIC_SPECIES
Co 58.93 Co.upf
Er 167.26 Er.upf
Ni 58.69 Ni.upf
CELL_PARAMETERS angstrom
0.421 1.999 8.362
1.772 -2.693 7.982
4.978 0.868 6.969
ATOMIC_POSITIONS angstrom
Co 5.500 0.509 13.251
Co 3.282 1.454 9.553
Co 3.960 -0.902 9.362
Co 3.211 1.077 13.951
Co 2.396 0.058 7.789
Co 1.672 -0.335 10.062
Co 4.776 0.116 15.524
Co 3.890 -1.279 13.760
Er 0.999 0.024 3.247
Er 6.173 0.150 20.066
Er 0.000 0.000 0.000
Ni 3.586 0.087 11.656
```

* formation energy: -0.22 eV/atom
* crystal system: trigonal
* E_tot: -78.80 eV for the cell shown
* M_tot: 9.350 μB/cell
* V: 14.1 Å³/atom